Arrangement 1

Here is crystalline Sm2MgPd at its relaxed geometry from Alexandria. Energies are from PBE.

```
4
Lattice="-3.7614 2.6664 -2.4882 -4.9424 -1.7356 0.0956 -3.6325 2.5880 2.7488" Properties=species:S:1:pos:R:3 pbc="T T T"
Mg 0.0000 0.0000 0.0000
Pd -6.1681 1.7594 0.1781
Sm -3.0841 0.8797 0.0890
Sm -9.2522 2.6391 0.2671
```

=====

Arrangement 2

Here is crystalline Sm2MgPd at its relaxed geometry from Alexandria. Energies are from PBE.

```
8
Lattice="-0.0930 1.4404 3.3936 -6.1001 0.7591 -2.4900 -2.3396 -7.9469 3.3089" Properties=species:S:1:pos:R:3 pbc="T T T"
Sm -5.8052 -3.3150 1.2501
Sm -2.7276 -2.4324 2.9623
Sm -6.7236 -6.4347 2.5491
Sm -1.8091 0.6873 1.6634
Mg -6.0076 0.0276 1.8308
Mg -2.5251 -5.7750 2.3817
Pd -4.7878 -4.5205 3.7948
Pd -3.7450 -1.2269 0.4177
```

=====

Arrangement 3

Here is crystalline Sm2MgPd at its relaxed geometry from Alexandria. Energies are from PBE.

```
4
Lattice="-2.7198 -2.3082 -0.9980 0.5348 -1.9674 3.0926 -4.9675 4.2994 3.5941" Properties=species:S:1:pos:R:3 pbc="T T T"
Mg -3.5762 0.0119 2.8444
Pd -1.0925 -2.1378 1.0473
Sm -3.8540 3.3357 2.7885
Sm -1.1135 0.9637 0.8056
```

=====

What are the relative energies? In meV/atom: arrangement 1 85; arrangement 2 24; arrangement 3 0.

=====

Arrangement 1

Here is crystalline SmMg3Pd at its relaxed geometry from Alexandria. Energies are from PBE.

```
20
Lattice="-1.2320 0.3243 -3.9352 -8.8632 -0.0192 2.7732 0.2598 12.0774 0.9138" Properties=species:S:1:pos:R:3 pbc="T T T"
Sm -7.9537 12.1860 0.2335
Sm -6.1884 5.9880 1.3439
Sm -3.6469 6.3945 -1.5921
Sm -1.8816 0.1964 -0.4816
Mg -5.1354 1.0671 0.6088
Mg -4.6999 11.3154 -0.8569
Mg -0.6168 5.1223 -0.4717
Mg -9.2185 7.2601 0.2235
Mg -3.7420 8.8643 0.8150
Mg -1.6732 2.9938 -2.4902
Mg -8.1621 9.3886 2.2420
Mg -6.5608 8.8684 -0.4760
Mg -3.2745 3.5141 0.2278
Mg -2.1111 9.7185 -1.7990
Mg -6.0933 3.5182 -1.0632
Mg -7.7242 2.6640 1.5508
Pd -1.4171 7.7115 -0.0078
Pd -5.7874 10.5516 1.5944
Pd -4.0479 1.8309 -1.8426
Pd -8.4182 4.6709 -0.2404
```

=====

Arrangement 2

Here is crystalline SmMg3Pd at its relaxed geometry from Alexandria. Energies are from PBE.

```
10
Lattice="-1.8568 -1.9557 -3.3793 -2.0075 -5.7601 4.4365 -5.3776 5.2878 -0.1054" Properties=species:S:1:pos:R:3 pbc="T T T"
Sm -3.9198 -3.5124 1.4208
Sm -5.3221 1.0844 -0.4690
Mg -0.9284 -0.9778 -1.6897
Mg -1.8692 1.3097 0.2691
Mg -5.5159 -1.7820 4.0620
Mg -6.3712 1.0218 2.9093
Mg -3.6925 -0.2361 2.1655
Mg -1.0139 -1.4941 1.4218
Pd -3.2335 -1.1253 -0.3378
Pd -6.0084 -1.3027 1.2896
```

=====

Arrangement 3

Here is crystalline SmMg3Pd at its relaxed geometry from Alexandria. Energies are from PBE.

```
5
Lattice="-4.1053 2.7504 -0.6511 -2.7720 -4.1422 -0.0202 -0.5523 0.3454 4.9414" Properties=species:S:1:pos:R:3 pbc="T T T"
Mg -1.3860 -2.0711 -0.0101
Mg -0.2761 0.1727 2.4707
Mg -2.0526 1.3752 -0.3256
Pd 0.0000 0.0000 0.0000
Sm -3.7148 -0.5231 2.1350
```

=====

What are the relative energies? In meV/atom: arrangement 1 22; arrangement 2 0; arrangement 3 181.

=====

Arrangement 1

Here is crystalline Mg3SnPd at its relaxed geometry from Alexandria. Energies are from PBE.

```
10
Lattice="3.0720 0.0000 0.0010 -0.0001 7.7544 0.0001 -0.0016 -0.0002 8.8743" Properties=species:S:1:pos:R:3 pbc="T T T"
Mg 0.2781 6.9678 5.2166
Mg 0.2757 2.5297 6.1012
Mg 0.2789 2.5286 0.7795
Mg 0.2777 5.2519 7.8780
Mg 0.2764 6.9666 1.6642
Mg 0.2785 4.2442 3.4409
Sn 1.8128 0.4382 7.8777
Sn 1.8136 1.3036 3.4406
Pd 1.8146 4.7474 1.2226
Pd 1.8138 4.7481 5.6599
```

=====

Arrangement 2

Here is crystalline Mg3SnPd at its relaxed geometry from Alexandria. Energies are from PBE.

```
20
Lattice="-2.5700 -4.0083 -3.3723 8.6933 -3.5117 2.4219 1.8258 -4.2348 8.5149" Properties=species:S:1:pos:R:3 pbc="T T T"
Mg 6.8381 -10.1952 7.3365
Mg -1.0020 -3.6510 -0.7235
Mg 1.1110 -1.5597 0.2280
Mg 8.9511 -8.1039 8.2880
Mg 3.8561 -8.4314 6.8246
Mg -0.6248 -5.6890 2.0995
Mg 4.0930 -3.3235 0.7400
Mg 8.5739 -6.0658 5.4650
Mg 5.4812 -6.9525 4.5090
Mg 2.0156 -6.7188 0.6306
Mg 2.4679 -4.8023 3.0556
Mg 5.9335 -5.0361 6.9339
Sn 6.6658 -4.6596 2.8076
Sn 1.2833 -7.0952 4.7569
Sn 3.2877 -5.0153 5.8048
Sn 4.6614 -6.7395 1.7598
Pd 5.4439 -9.6711 5.0041
Pd 1.2045 -4.0896 0.8883
Pd 2.5052 -2.0837 2.5604
Pd 6.7446 -7.6653 6.6763
```

=====

What are the relative energies? In meV/atom: arrangement 1 0; arrangement 2 13.

=====

Arrangement 1

Here is crystalline MgSn2Pd4 at its relaxed geometry from Alexandria. Energies are from PBE.

```
7
Lattice="-0.4218 0.8239 -4.5205 3.5138 -2.8674 -0.8505 -2.8365 -6.2318 -3.2261" Properties=species:S:1:pos:R:3 pbc="T T T"
Mg 0.0000 0.0000 0.0000
Sn 0.4380 -2.3390 -2.8222
Sn -0.1825 -5.9363 -5.7749
Pd -1.2212 -4.3114 -3.0268
Pd 1.4766 -3.9639 -5.5703
Pd 1.7569 -1.4337 -0.4252
Pd -0.2109 0.4119 -2.2603
```

=====

Arrangement 2

Here is crystalline MgSn2Pd4 at its relaxed geometry from Alexandria. Energies are from PBE.

```
7
Lattice="4.3069 0.0000 1.3456 1.9433 3.8436 1.3456 -0.0592 -0.0364 7.7549" Properties=species:S:1:pos:R:3 pbc="T T T"
Mg 0.0000 0.0000 0.0000
Sn 4.6619 2.8669 7.7747
Sn 1.5290 0.9403 2.6714
Pd 5.4531 3.3534 5.2423
Pd 0.7378 0.4537 5.2038
Pd 3.8886 2.3913 2.6844
Pd 2.3023 1.4158 7.7617
```

=====

What are the relative energies? In meV/atom: arrangement 1 546; arrangement 2 0.

=====

Arrangement 1

Here is crystalline Mg4Sn2Pd at its relaxed geometry from Alexandria. Energies are from PBE.

```
7
Lattice="4.9171 0.0000 0.0000 0.0000 4.9171 0.0000 2.4586 2.4586 7.4575" Properties=species:S:1:pos:R:3 pbc="T T T"
Mg 2.4586 2.4586 4.8626
Mg 4.9171 4.9171 2.5949
Mg 0.0000 2.4586 0.0000
Mg 2.4586 0.0000 0.0000
Sn 2.4586 2.4586 1.9805
Sn 4.9171 4.9171 5.4769
Pd 0.0000 0.0000 0.0000
```

=====

Arrangement 2

Here is crystalline Mg4Sn2Pd at its relaxed geometry from Alexandria. Energies are from PBE.

```
7
Lattice="4.4633 0.0000 0.0000 0.0000 5.8600 -0.5638 0.0000 0.7037 5.8449" Properties=species:S:1:pos:R:3 pbc="T T T"
Mg 0.0000 4.6493 3.7408
Mg 0.0000 1.9144 1.5403
Mg 2.2317 0.3519 2.9224
Mg 2.2317 2.9300 -0.2819
Sn 0.0000 4.7677 0.7938
Sn 0.0000 1.7960 4.4872
Pd 2.2317 3.2819 2.6405
```

=====

What are the relative energies? In meV/atom: arrangement 1 189; arrangement 2 0.

=====

Arrangement 1

Here is crystalline MgSn2Pd3 at its relaxed geometry from Alexandria. Energies are from PBE.

```
6
Lattice="-0.5771 0.0007 3.3231 2.1287 -2.5899 0.3702 7.1803 6.0795 1.2456" Properties=species:S:1:pos:R:3 pbc="T T T"
Mg 4.3659 1.7452 2.4694
Sn 6.7018 3.7230 2.8747
Sn 2.0300 -0.2327 2.0642
Pd 0.0000 0.0000 0.0000
Pd 4.7401 4.0134 0.8223
Pd 2.4402 2.0661 0.4233
```

=====

Arrangement 2

Here is crystalline MgSn2Pd3 at its relaxed geometry from Alexandria. Energies are from PBE.

```
12
Lattice="-2.3947 -4.0299 0.1435 0.6790 -2.8909 6.7846 -5.3183 3.2282 1.9078" Properties=species:S:1:pos:R:3 pbc="T T T"
Mg -0.5612 -2.3119 2.3476
Mg -1.1545 -4.6089 4.5805
Sn 0.0000 0.0000 0.0000
Sn -2.6592 1.6141 0.9539
Sn -3.2276 -0.6945 3.2758
Sn -3.8065 -2.9981 5.5601
Pd -5.8006 -1.8749 3.8302
Pd -2.4724 -1.2410 0.5292
Pd -1.2334 -1.8177 5.0058
Pd -3.0548 -3.5414 2.8452
Pd -3.9793 -0.1512 5.9907
Pd -5.2406 0.4393 1.5221
```

=====

What are the relative energies? In meV/atom: arrangement 1 35; arrangement 2 0.

=====

Arrangement 1

Here is crystalline MgSnPd3 at its relaxed geometry from Alexandria. Energies are from PBE.

```
10
Lattice="4.4542 -0.3923 1.3713 0.7853 4.6019 0.2506 -0.0291 -0.2072 8.0223" Properties=species:S:1:pos:R:3 pbc="T T T"
Mg 4.4525 3.5487 1.5318
Mg 2.7485 1.2407 5.6301
Sn 1.8214 1.4439 0.7239
Sn 0.9253 3.7385 5.0685
Pd 0.9219 1.4409 3.6337
Pd 4.4999 1.0433 7.8693
Pd 3.5539 3.5427 4.4562
Pd 3.6470 1.2468 2.7071
Pd 1.8249 3.7417 2.1582
Pd 2.6723 3.5395 7.3162
```

=====

Arrangement 2

Here is crystalline MgSnPd3 at its relaxed geometry from Alexandria. Energies are from PBE.

```
5
Lattice="4.9224 0.0000 0.0000 0.0000 4.9224 0.0000 0.0000 0.0000 4.9224" Properties=species:S:1:pos:R:3 pbc="T T T"
Mg 2.4612 2.4612 2.4612
Sn 0.0000 0.0000 0.0000
Pd 0.0000 2.4612 0.0000
Pd 0.0000 0.0000 2.4612
Pd 2.4612 0.0000 0.0000
```

=====

Arrangement 3

Here is crystalline MgSnPd3 at its relaxed geometry from Alexandria. Energies are from PBE.

```
20
Lattice="7.1792 0.0000 0.0000 0.0000 6.6470 0.0000 0.0000 0.0000 7.4748" Properties=species:S:1:pos:R:3 pbc="T T T"
Mg 0.0000 3.3235 0.0000
Mg 3.5896 0.0000 3.7374
Mg 3.5896 0.0000 0.0000
Mg 0.0000 3.3235 3.7374
Sn 2.4508 3.8593 5.6061
Sn 1.1389 0.5358 1.8687
Sn 4.7285 2.7877 1.8687
Sn 6.0404 6.1112 5.6061
Pd 6.0977 0.9625 0.3843
Pd 4.6711 4.2860 4.1217
Pd 4.6711 4.2860 7.0905
Pd 1.0815 5.6845 4.1217
Pd 1.0815 5.6845 7.0905
Pd 2.5081 2.3610 3.3531
Pd 2.5081 2.3610 0.3843
Pd 6.0977 0.9625 3.3531
Pd 0.9448 1.4990 5.6061
Pd 2.6448 4.8225 1.8687
Pd 6.2344 5.1480 1.8687
Pd 4.5344 1.8245 5.6061
```

=====

What are the relative energies? In meV/atom: arrangement 1 0; arrangement 2 829; arrangement 3 112.

=====

Arrangement 1

Here is crystalline Mg2Sn2Pd at its relaxed geometry from Alexandria. Energies are from PBE.

```
10
Lattice="-0.1432 6.3058 3.0570 -3.4518 -2.7245 5.4581 3.9425 -0.9011 2.0434" Properties=species:S:1:pos:R:3 pbc="T T T"
Mg -2.9726 -0.1203 5.6820
Mg -2.3760 3.5600 6.1540
Mg -0.6224 3.7016 2.8331
Mg -1.2190 0.0213 2.3612
Sn -0.3401 -1.2296 5.1375
Sn -1.0133 1.4484 7.6173
Sn 0.6876 3.9097 5.4211
Sn 1.3608 1.2317 2.9413
Pd 0.0000 0.0000 0.0000
Pd -1.7975 1.7906 4.2576
```

=====

Arrangement 2

Here is crystalline Mg2Sn2Pd at its relaxed geometry from Alexandria. Energies are from PBE.

```
10
Lattice="-4.1059 -3.3129 -4.6961 2.2063 -6.2378 2.4715 -3.3847 -0.0193 2.9729" Properties=species:S:1:pos:R:3 pbc="T T T"
Mg -0.9023 -4.7026 2.3555
Mg -2.5793 -7.4219 0.4286
Mg -4.3820 -4.8674 -1.6073
Mg -2.7050 -2.1481 0.3197
Sn 0.4331 -6.4881 0.4510
Sn -2.0733 -6.8624 -2.4051
Sn -2.3326 -3.0626 -2.6756
Sn 0.1738 -2.6883 0.1804
Pd 0.0000 0.0000 0.0000
Pd -0.9498 -4.7753 -1.1123
```

=====

What are the relative energies? In meV/atom: arrangement 1 122; arrangement 2 0.

=====

Arrangement 1

Here is crystalline MgSnPd6 at its relaxed geometry from Alexandria. Energies are from PBE.

```
8
Lattice="6.9777 0.3490 -0.1706 3.7819 6.5449 -0.0108 3.4753 2.3734 2.9810" Properties=species:S:1:pos:R:3 pbc="T T T"
Mg 0.0000 0.0000 0.0000
Sn 7.1174 4.6337 1.3998
Pd 11.2772 5.2782 2.3847
Pd 11.4078 8.2268 2.0867
Pd 5.2935 2.6412 0.9883
Pd 2.8271 1.0405 0.7129
Pd 2.9576 3.9891 0.4149
Pd 8.9413 6.6261 1.8113
```

=====

Arrangement 2

Here is crystalline MgSnPd6 at its relaxed geometry from Alexandria. Energies are from PBE.

```
8
Lattice="-0.4765 1.3771 -3.7416 0.7847 -5.2203 -2.0212 -5.5574 -0.9728 0.3497" Properties=species:S:1:pos:R:3 pbc="T T T"
Mg -0.2382 0.6885 -1.8708
Sn -2.6245 -2.4080 -2.7066
Pd -0.7932 -4.1635 -1.4313
Pd -3.9794 -2.0296 -0.2402
Pd -3.5844 -4.6512 -1.2554
Pd -1.1883 -1.5419 -0.4162
Pd 0.1541 -1.9216 -2.8814
Pd -3.0169 0.2021 -1.6960
```

=====

What are the relative energies? In meV/atom: arrangement 1 120; arrangement 2 0.

=====

Arrangement 1

Here is crystalline Mg4SnPd2 at its relaxed geometry from Alexandria. Energies are from PBE.

```
7
Lattice="-2.4079 -1.2692 -4.4726 4.6149 -0.0414 -2.4727 1.8229 -7.1337 -2.0215" Properties=species:S:1:pos:R:3 pbc="T T T"
Mg 1.5198 -4.4042 -2.6329
Mg 2.5101 -4.0401 -6.3339
Mg 2.3074 -0.0207 -1.2364
Mg -1.2039 -0.6346 -2.2363
Sn 0.0000 0.0000 0.0000
Pd 1.2466 -1.9438 -3.1841
Pd 2.7833 -6.5005 -5.7828
```

=====

Arrangement 2

Here is crystalline Mg4SnPd2 at its relaxed geometry from Alexandria. Energies are from PBE.

```
7
Lattice="3.7922 0.0000 -0.8742 -0.2015 3.7868 -0.8742 0.5513 0.5814 11.0540" Properties=species:S:1:pos:R:3 pbc="T T T"
Mg 0.6197 0.6536 2.6883
Mg 3.5223 3.7147 6.6174
Mg 1.0726 3.1308 4.6528
Mg 3.0694 1.2374 4.6528
Sn 0.0000 0.0000 0.0000
Pd 2.5536 2.6931 2.4153
Pd 1.5884 1.6751 6.8904
```

=====

What are the relative energies? In meV/atom: arrangement 1 300; arrangement 2 0.